Below is a geometry-optimized Pr8GaGe2 structure, with properties calculated at the PBE level. Values from VASP.

Properties
E_form = -365.9 meV/atom
SG = C2/m (12)
Total magnetic moment = 0.0 μB per cell
D(E_F) = 11.9 states/eV/f.u.

```
&SYSTEM
  ibrav = 0, nat = 11, ntyp = 3
/
ATOMIC_SPECIES
Pr 140.91 Pr.upf
Ga 69.72 Ga.upf
Ge 72.64 Ge.upf
ATOMIC_POSITIONS crystal
Pr 0.023 0.023 0.273
Pr 0.211 0.211 0.836
Pr 0.338 0.338 0.501
Pr 0.408 0.408 0.026
Pr 0.592 0.592 0.974
Pr 0.662 0.662 0.499
Pr 0.789 0.789 0.164
Pr 0.977 0.977 0.727
Ga 0.500 0.500 0.500
Ge 0.183 0.183 0.258
Ge 0.817 0.817 0.742
CELL_PARAMETERS angstrom
9.739 -2.522 0.000
9.739 2.522 0.000
-1.486 0.000 6.841
```



Below is a geometry-optimized Pr2GaGePt6 structure, with properties calculated at the PBE level. Values from VASP.

Properties
E_form = -820.4 meV/atom
SG = C2/m (12)
Total magnetic moment = 0.0 μB per cell
D(E_F) = 3.5 states/eV/f.u.

```
&SYSTEM
  ibrav = 0, nat = 10, ntyp = 4
/
ATOMIC_SPECIES
Pr 140.91 Pr.upf
Ga 69.72 Ga.upf
Ge 72.64 Ge.upf
Pt 195.08 Pt.upf
ATOMIC_POSITIONS crystal
Pr 0.246 0.246 0.206
Pr 0.754 0.754 0.794
Ga 0.500 0.500 0.000
Ge 0.000 0.000 0.500
Pt 0.247 0.746 0.249
Pt 0.251 0.251 0.607
Pt 0.254 0.753 0.751
Pt 0.746 0.247 0.249
Pt 0.749 0.749 0.393
Pt 0.753 0.254 0.751
CELL_PARAMETERS angstrom
6.045 -2.750 0.000
6.045 2.750 0.000
-5.851 0.000 6.190
```



Below is a geometry-optimized Pr2Ga4GePt3 structure, with properties calculated at the PBE level. Values from VASP.

Properties
E_form = -861.3 meV/atom
SG = P-4m2 (115)
Total magnetic moment = 0.0 μB per cell
D(E_F) = 6.4 states/eV/f.u.

```
&SYSTEM
  ibrav = 0, nat = 10, ntyp = 4
/
ATOMIC_SPECIES
Pr 140.91 Pr.upf
Ga 69.72 Ga.upf
Ge 72.64 Ge.upf
Pt 195.08 Pt.upf
ATOMIC_POSITIONS crystal
Pr 0.000 0.500 0.248
Pr 0.500 0.000 0.752
Ga 0.000 0.000 0.000
Ga 0.000 0.500 0.637
Ga 0.500 0.000 0.363
Ga 0.500 0.500 0.000
Ge 0.000 0.000 0.500
Pt 0.000 0.500 0.875
Pt 0.500 0.000 0.125
Pt 0.500 0.500 0.500
CELL_PARAMETERS angstrom
4.393 0.000 0.000
0.000 4.393 0.000
0.000 0.000 10.294
```